(1)
12
Lattice="4.744 0.000 0.000 0.000 8.167 0.000 0.000 0.000 8.530" Properties=species:S:1:pos:R:3 comment="PBE AcMg4In, relaxed" e_form_mev_per_atom=-122 e_above_lowest_polymorph_mev_per_atom=0.0 pbc="T T T"
Ac 0.000 5.169 6.398
Ac 0.000 2.998 2.133
Mg 0.000 0.000 4.265
Mg 0.000 0.000 0.000
Mg 2.372 7.806 6.398
Mg 2.372 0.361 2.133
Mg 2.372 5.641 0.458
Mg 2.372 2.525 8.072
Mg 2.372 5.641 3.807
Mg 2.372 2.525 4.723
In 0.000 1.849 6.398
In 0.000 6.317 2.133


(2)
Below is a relaxed Y4Te2PbSe crystal, with properties calculated at the PBE level.

Geometry as extended XYZ:
```
8
Lattice="-3.006 2.458 1.910 -5.335 -3.220 -4.252 -2.684 -6.016 3.518" Properties=species:S:1:pos:R:3 pbc="T T T"
Y -5.936 -6.948 -0.400
Y -5.088 0.171 1.576
Y -6.096 -2.632 -1.306
Y -4.928 -4.146 2.481
Te -2.684 -6.016 3.518
Te -2.845 -1.779 2.714
Pb -4.009 -4.618 -0.367
Se -4.170 -0.381 -1.171
```


(3)
4
Lattice="3.374 0.000 0.000 1.687 2.922 0.000 1.687 0.974 11.989" Properties=species:S:1:pos:R:3 comment="PBE CeGeBi2, relaxed" e_form_mev_per_atom=303 e_above_lowest_polymorph_mev_per_atom=711.8 pbc="T T T"
Ge 3.374 1.948 5.994
Bi 1.687 0.974 8.657
Bi 5.062 2.922 3.332
Ce 0.000 0.000 0.000


(4)
3
Lattice="-1.084 0.047 -3.132 -1.704 -1.645 2.319 -3.486 5.425 1.287" Properties=species:S:1:pos:R:3 comment="PBE InGaAg, relaxed" e_form_mev_per_atom=46 pbc="T T T"
Ga -3.764 2.446 1.339
Ag -2.502 1.368 -0.868
In -0.008 0.012 0.003


(5)
8
Lattice="9.591 0.000 0.000 0.000 9.591 0.000 4.796 4.796 3.581" Properties=species:S:1:pos:R:3 comment="PBE KCa2Au, relaxed" e_form_mev_per_atom=-180 e_above_lowest_polymorph_mev_per_atom=179.4 pbc="T T T"
Ca 8.160 2.398 0.895
Ca 1.431 7.193 0.895
Ca 7.193 6.227 2.686
Ca 11.989 12.956 2.686
Au 0.000 0.000 0.000
Au 9.591 4.796 1.791
K 4.796 4.796 0.000
K 4.796 9.591 1.791


(6)
8
Lattice="-8.921 -0.461 -1.772 0.186 -8.997 1.402 -5.316 -4.033 4.409" Properties=species:S:1:pos:R:3 comment="PBE Ba2HgI, relaxed" e_above_lowest_polymorph_mev_per_atom=175.4 pbc="T T T"
I -4.367 -4.729 -0.185
I -4.749 -8.879 2.813
Hg 0.000 0.000 0.000
Hg -9.302 -4.611 1.225
Ba -7.007 -2.427 0.145
Ba -2.202 -6.682 1.782
Ba -7.265 -6.444 3.148
Ba -11.627 -11.426 3.002


(7)
5
Lattice="-1.941 -4.421 2.517 2.139 1.233 3.815 -4.394 2.814 1.554" Properties=species:S:1:pos:R:3 comment="PBE Mg2BeTlHg, relaxed" e_form_mev_per_atom=466 pbc="T T T"
Mg -2.197 1.407 0.777
Mg -0.970 -2.210 1.258
Be 1.069 0.616 1.907
Tl 0.000 0.000 0.000
Hg -2.098 -0.187 3.943


(8)
20
Lattice="6.873 0.000 0.000 0.000 8.490 1.151 0.000 -1.883 8.804" Properties=species:S:1:pos:R:3 comment="PBE Pm3PbF, relaxed" e_above_lowest_polymorph_mev_per_atom=0.0 pbc="T T T"
Pm 6.861 4.930 5.760
Pm 0.012 1.677 4.196
Pm 3.425 4.980 9.174
Pm 3.448 1.626 0.782
Pm 3.449 4.930 5.759
Pm 3.424 1.676 4.197
Pm 0.012 4.980 9.174
Pm 6.861 1.627 0.781
Pm 1.719 4.492 2.257
Pm 5.154 2.115 7.699
Pm 5.155 7.301 3.872
Pm 1.717 -0.695 6.083
Pb 5.154 -0.938 6.070
Pb 1.719 7.545 3.885
Pb 1.718 2.359 7.712
Pb 5.155 4.248 2.244
F 1.718 3.572 4.530
F 5.154 3.035 5.426
F 5.155 8.221 1.599
F 1.718 -1.615 8.356


| no. | total magnetic moment (μB per formula unit) | total DFT energy (no corrections) (eV per formula unit) | mass density (Mg/m³) |
| --- | --- | --- | --- |
| 1 | 0.00 | -13.96 | 4.412 |
| 2 | 0.00 | -49.42 | 6.478 |
| 3 | 1.21 | -17.10 | 8.859 |
| 4 | 0.00 | -8.48 | 7.759 |
| 5 | 0.00 | -9.10 | 3.188 |
| 6 | 0.00 | -8.61 | 5.084 |
| 7 | 0.00 | -7.26 | 5.703 |
| 8 | 0.21 | -25.79 | 8.308 |